Crystalline NiTeWI2 at its relaxed geometry, computed with PBE-GGA.

Structure (extended XYZ):
```
5
Lattice="5.0981 0.0000 0.0000 0.0000 5.0981 0.0000 0.0000 0.0000 5.2206" Properties=species:S:1:pos:R:3 pbc="T T T"
Ni 0.0000 0.0000 0.0000
Te 0.0000 0.0000 2.6103
W 2.5491 2.5491 2.6103
I 0.0000 2.5491 0.0000
I 2.5491 0.0000 0.0000
```

Fermi-level density of states: 5.8 states/eV/cell
energy relative to the lowest polymorph listed for this composition: 84 meV/atom
symmetry: P4/mmm
volume: 136 Å³/cell
raw formation energy: 6.34 eV per formula unit
M_tot: 3.61 μB per cell

***

Crystalline InBr2F at its relaxed geometry, computed with PBE-GGA.

Structure (extended XYZ):
```
4
Lattice="2.0866 1.2047 8.1695 -2.0866 1.2047 8.1695 0.0000 -2.4094 8.1695" Properties=species:S:1:pos:R:3 pbc="T T T"
In 0.0000 0.0000 0.0000
Br 0.0000 0.0000 2.3879
Br 0.0000 0.0000 22.1205
F 0.0000 0.0000 12.2542
```

Fermi-level density of states: 0.0 states/eV/cell
energy relative to the lowest polymorph listed for this composition: 1147 meV/atom
symmetry: R-3m
volume: 123 Å³/cell
raw formation energy: -0.93 eV per formula unit
M_tot: 0.00 μB per cell

***

Crystalline Gd2VH at its relaxed geometry, computed with PBE-GGA.

Structure (extended XYZ):
```
4
Lattice="1.7474 1.0088 7.4930 -1.7474 1.0088 7.4930 0.0000 -2.0177 7.4930" Properties=species:S:1:pos:R:3 pbc="T T T"
Gd 0.0000 0.0000 5.2660
Gd 0.0000 0.0000 17.2130
V 0.0000 0.0000 0.0000
H 0.0000 0.0000 11.2395
```

Fermi-level density of states: 2.8 states/eV/cell
symmetry: R-3m
volume: 79 Å³/cell
M_tot: 12.61 μB per cell
uncorrected energy: -40.1 eV/cell